The following is a DFT calculation (GGA-PBEsol) of IrOsCl2 after structural relaxation.

Unit cell a=2.8932 b=4.1908 c=4.9203 alpha=90.00 beta=93.69 gamma=90.00
Last column: nearest neighbours and their distance in Å.
Fractional coordinates of all 4 atoms:
Ir1 0.0000 0.0000 0.0000  4 Cl 2.54, 2 Os 2.77
Os1 0.5000 0.0000 0.5000  4 Cl 2.49, 2 Ir 2.77
Cl1 0.2702 0.5000 0.2539  2 Os 2.49, 2 Ir 2.54, 1 Cl 2.69
Cl2 0.7298 0.5000 0.7461  2 Os 2.49, 2 Ir 2.54, 1 Cl 2.69

Calculated values
- Uncorrected energy: -22.3 eV per cell
- Spin magnetization: 0.00 μB/f.u.
- ΔE to the lowest computed polymorph: 827 meV per atom
- Raw formation energy: 0.945 eV/atom
- DOS(E_F): 3.70 states/eV per cell



The following is a DFT calculation (GGA-PBEsol) of KCaEr2CuS5 after structural relaxation.

Unit cell a=6.9737 b=6.9737 c=16.8445 alpha=90.00 beta=90.00 gamma=147.70
Last column: nearest neighbours and their distance in Å.
Fractional coordinates of all 20 atoms:
K1 0.0233 0.9767 0.7500  6 S 3.06-3.18
K2 0.9767 0.0233 0.2500  6 S 3.06-3.18
Ca1 0.5000 0.5000 0.0000  6 S 2.73-2.84
Ca2 0.5000 0.5000 0.5000  6 S 2.73-2.84
Er1 0.2296 0.7704 0.1030  6 S 2.65-2.79
Er2 0.2296 0.7704 0.3970  6 S 2.65-2.79
Er3 0.7704 0.2296 0.6030  6 S 2.65-2.79
Er4 0.7704 0.2296 0.8970  6 S 2.65-2.79
Cu1 0.2968 0.7032 0.7500  4 S 2.29-2.33
Cu2 0.7032 0.2968 0.2500  4 S 2.29-2.33
S1 0.1432 0.8568 0.5474  3 Er 2.75-2.79, 2 Ca 2.84
S2 0.1432 0.8568 0.9526  3 Er 2.75-2.79, 2 Ca 2.84
S3 0.2996 0.7004 0.2500  2 Cu 2.33
S4 0.3968 0.6032 0.6396  1 Cu 2.29
S5 0.3968 0.6032 0.8604  1 Cu 2.29
S6 0.6032 0.3968 0.1396  1 Cu 2.29
S7 0.6032 0.3968 0.3604  1 Cu 2.29
S8 0.7004 0.2996 0.7500  2 Cu 2.33
S9 0.8568 0.1432 0.0474  3 Er 2.75-2.79, 2 Ca 2.84
S10 0.8568 0.1432 0.4526  3 Er 2.75-2.79, 2 Ca 2.84

Calculated values
- Uncorrected energy: -115.0 eV per cell
- Spin magnetization: 0.00 μB/f.u.
- Raw formation energy: -1.813 eV/atom



The following is a DFT calculation (GGA-PBEsol) of Al2InSb after structural relaxation.

Unit cell a=4.8229 b=4.8229 c=7.4723 alpha=90.00 beta=90.00 gamma=90.00
Last column: nearest neighbours and their distance in Å.
Fractional coordinates of all 8 atoms:
Al1 0.0000 0.5000 0.2500  4 In 3.05, 4 Sb 3.05, 4 Al 3.41
Al2 0.0000 0.5000 0.7500  4 In 3.05, 4 Sb 3.05, 4 Al 3.41
Al3 0.5000 0.0000 0.2500  4 In 3.05, 4 Sb 3.05, 4 Al 3.41
Al4 0.5000 0.0000 0.7500  4 In 3.05, 4 Sb 3.05, 4 Al 3.41
In1 0.0000 0.0000 0.0000  8 Al 3.05, 4 Sb 3.41
In2 0.5000 0.5000 0.5000  8 Al 3.05, 4 Sb 3.41
Sb1 0.0000 0.0000 0.5000  8 Al 3.05, 4 In 3.41
Sb2 0.5000 0.5000 0.0000  8 Al 3.05, 4 In 3.41

Calculated values
- Uncorrected energy: -29.9 eV per cell
- Spin magnetization: 0.00 μB/f.u.
- ΔE to the lowest computed polymorph: 49 meV per atom
- Raw formation energy: 0.188 eV/atom
- DOS(E_F): 4.20 states/eV per cell



The following is a DFT calculation (GGA-PBEsol) of MgMo2P after structural relaxation.

Unit cell a=3.0347 b=3.0347 c=6.7551 alpha=90.00 beta=90.00 gamma=90.00
Last column: nearest neighbours and their distance in Å.
Fractional coordinates of all 4 atoms:
Mg1 0.0000 0.0000 0.0000  8 Mo 3.00, 4 Mg 3.03
Mo1 0.5000 0.5000 0.3096  4 P 2.50, 1 Mo 2.57
Mo2 0.5000 0.5000 0.6904  4 P 2.50, 1 Mo 2.57
P1 0.0000 0.0000 0.5000  8 Mo 2.50

Calculated values
- Uncorrected energy: -31.1 eV per cell
- ΔE_f: -0.0159 eV/atom
- Spin magnetization: 0.00 μB/f.u.
- ΔE to the lowest computed polymorph: 0 meV per atom
- DOS(E_F): 4.05 states/eV per cell



The following is a DFT calculation (GGA-PBEsol) of Sr2FeW after structural relaxation.

Unit cell a=3.5056 b=5.4050 c=10.6682 alpha=90.00 beta=90.00 gamma=90.00
Last column: nearest neighbours and their distance in Å.
Fractional coordinates of all 8 atoms:
Sr1 0.0000 0.0000 0.0000  4 Fe 3.30, 2 W 3.40, 6 Sr 3.48-3.60
Sr2 0.0000 0.5000 0.2051  4 Fe 3.38-3.65, 4 W 3.40, 6 Sr 3.48-3.60
Sr3 0.5000 0.0000 0.7051  4 Fe 3.38-3.65, 4 W 3.40, 6 Sr 3.48-3.60
Sr4 0.5000 0.5000 0.5000  4 Fe 3.30, 2 W 3.40, 6 Sr 3.48-3.60
Fe1 0.0000 0.0000 0.4345  2 W 2.22
Fe2 0.5000 0.5000 0.9345  2 W 2.22
W1 0.0000 0.5000 0.8063  2 Fe 2.22
W2 0.5000 0.0000 0.3063  2 Fe 2.22

Calculated values
- Uncorrected energy: -46.5 eV per cell
- ΔE_f: 0.8051 eV/atom
- Spin magnetization: 0.39 μB/f.u.
- ΔE to the lowest computed polymorph: 182 meV per atom
- DOS(E_F): 10.25 states/eV per cell



The following is a DFT calculation (GGA-PBEsol) of Zr2BeBr after structural relaxation.

Unit cell a=3.4819 b=4.2183 c=4.9919 alpha=90.00 beta=90.00 gamma=90.00
Last column: nearest neighbours and their distance in Å.
Fractional coordinates of all 4 atoms:
Zr1 0.0000 0.0000 0.0000  4 Br 2.73, 4 Zr 3.04
Zr2 0.5000 0.0000 0.5000  4 Be 2.73, 4 Zr 3.04
Be1 0.0000 0.5000 0.5000  4 Zr 2.73, 4 Br 3.04
Br1 0.5000 0.5000 0.0000  4 Zr 2.73, 4 Be 3.04

Calculated values
- Uncorrected energy: -23.4 eV per cell
- Spin magnetization: 0.00 μB/f.u.
- ΔE to the lowest computed polymorph: 315 meV per atom
- Raw formation energy: 0.154 eV/atom
- DOS(E_F): 2.91 states/eV per cell



The following is a DFT calculation (GGA-PBEsol) of K2InP after structural relaxation.

Unit cell a=5.1231 b=4.0898 c=6.8096 alpha=90.00 beta=112.02 gamma=90.00
Last column: nearest neighbours and their distance in Å.
Fractional coordinates of all 4 atoms:
K1 0.0000 0.0000 0.0000  4 P 3.40, 2 In 3.56-3.57
K2 0.3075 0.5000 0.6146  1 P 3.33, 4 In 3.56-3.57
In1 0.6964 0.0000 0.3926  2 P 2.58
P1 0.5707 0.5000 0.1426  2 In 2.58

Calculated values
- Uncorrected energy: -12.0 eV per cell
- ΔE_f: -0.2479 eV/atom
- Spin magnetization: 0.00 μB/f.u.
- ΔE to the lowest computed polymorph: 0 meV per atom
- DOS(E_F): 0.68 states/eV per cell



The following is a DFT calculation (GGA-PBEsol) of Ba3InB3O9 after structural relaxation.

Unit cell a=7.9861 b=7.9861 c=7.9861 alpha=105.58 beta=105.58 gamma=105.58
Last column: nearest neighbours and their distance in Å.
Fractional coordinates of all 32 atoms:
Ba1 0.1654 0.6563 0.2635  9 O 2.67-2.93
Ba2 0.2635 0.1655 0.6563  9 O 2.67-2.93
Ba3 0.3437 0.7365 0.8346  9 O 2.67-2.93
Ba4 0.6563 0.2635 0.1655  9 O 2.67-2.93
Ba5 0.7365 0.8346 0.3437  9 O 2.67-2.93
Ba6 0.8346 0.3437 0.7365  9 O 2.67-2.93
In1 0.0000 0.0000 0.0000  6 O 2.20
In2 0.5000 0.5000 0.5000  6 O 2.16
B1 0.0488 0.2902 0.3658  3 O 1.37-1.40
B2 0.2902 0.3658 0.0488  3 O 1.37-1.40
B3 0.3658 0.0488 0.2902  3 O 1.37-1.40
B4 0.6342 0.9512 0.7098  3 O 1.37-1.40
B5 0.7098 0.6342 0.9512  3 O 1.37-1.40
B6 0.9512 0.7098 0.6342  3 O 1.37-1.40
O1 0.0016 0.7360 0.8240  1 B 1.40
O2 0.0731 0.8033 0.5676  1 B 1.37
O3 0.1760 0.9984 0.2640  1 B 1.40
O4 0.1967 0.4324 0.9269  1 B 1.37
O5 0.2174 0.4307 0.4944  1 B 1.40
O6 0.2640 0.1760 0.9984  1 B 1.40
O7 0.4307 0.4944 0.2174  1 B 1.40
O8 0.4324 0.9269 0.1967  1 B 1.37
O9 0.4944 0.2174 0.4307  1 B 1.40
O10 0.5056 0.7826 0.5693  1 B 1.40
O11 0.5676 0.0731 0.8033  1 B 1.37
O12 0.5693 0.5056 0.7826  1 B 1.40
O13 0.7360 0.8240 0.0016  1 B 1.40
O14 0.7826 0.5693 0.5056  1 B 1.40
O15 0.8033 0.5677 0.0731  1 B 1.37
O16 0.8240 0.0016 0.7360  1 B 1.40
O17 0.9269 0.1967 0.4323  1 B 1.37
O18 0.9984 0.2640 0.1760  1 B 1.40

Calculated values
- Uncorrected energy: -238.8 eV per cell
- Spin magnetization: 0.00 μB/f.u.
- Raw formation energy: -2.605 eV/atom
- DOS(E_F): 0.00 states/eV per cell



The following is a DFT calculation (GGA-PBEsol) of Be2ReAu after structural relaxation.

Unit cell a=3.2952 b=4.1192 c=7.2309 alpha=90.00 beta=90.00 gamma=90.00
Last column: nearest neighbours and their distance in Å.
Fractional coordinates of all 8 atoms:
Be1 0.0000 0.0000 0.2433  2 Re 2.41, 2 Au 2.48, 4 Be 2.64
Be2 0.0000 0.0000 0.7567  2 Re 2.41, 2 Au 2.48, 4 Be 2.64
Be3 0.5000 0.5000 0.2433  2 Re 2.41, 2 Au 2.48, 4 Be 2.64
Be4 0.5000 0.5000 0.7567  2 Re 2.41, 2 Au 2.48, 4 Be 2.64
Re1 0.0000 0.5000 0.0000  4 Be 2.41, 4 Re 2.64
Re2 0.5000 0.0000 0.0000  4 Be 2.41, 4 Re 2.64
Au1 0.0000 0.5000 0.5000  8 Be 2.48-2.77, 4 Au 2.64
Au2 0.5000 0.0000 0.5000  8 Be 2.48-2.77, 4 Au 2.64

Calculated values
- Uncorrected energy: -50.2 eV per cell
- ΔE_f: 0.0369 eV/atom
- Spin magnetization: 0.00 μB/f.u.
- ΔE to the lowest computed polymorph: 0 meV per atom
- DOS(E_F): 1.86 states/eV per cell



The following is a DFT calculation (GGA-PBEsol) of ScMo3As after structural relaxation.

Unit cell a=4.5920 b=4.5920 c=4.5920 alpha=90.00 beta=90.00 gamma=90.00
Last column: nearest neighbours and their distance in Å.
Fractional coordinates of all 5 atoms:
Sc1 0.0000 0.0000 0.0000  12 Mo 3.25
Mo1 0.0000 0.5000 0.5000  2 As 2.30
Mo2 0.5000 0.0000 0.5000  2 As 2.30
Mo3 0.5000 0.5000 0.0000  2 As 2.30
As1 0.5000 0.5000 0.5000  6 Mo 2.30

Calculated values
- Uncorrected energy: -43.0 eV per cell
- ΔE_f: 0.8103 eV/atom
- Spin magnetization: 0.00 μB/f.u.
- ΔE to the lowest computed polymorph: 0 meV per atom
- DOS(E_F): 5.37 states/eV per cell